A relaxed MgPd3 crystal. Source: Alexandria via LeMat-Bulk, functional GGA-PBEsol.

Lattice parameters (Å, degrees): 3.9270 3.9270 4.7706 114.30 114.30 90.00
Element x y z (fractional)
Mg1 0.0000 0.0000 0.0000
Pd1 0.2500 0.7500 0.5000
Pd2 0.7500 0.2500 0.5000
Pd3 0.5000 0.5000 0.0000

Calculated values
Fermi-level density of states = 3.09 states/eV/f.u.
Total DFT energy (no corrections) = -5.352 eV/atom
Space group = I4/mmm, No. 139
Magnetization = 0.0 μB per cell
ΔE_f = -454 meV per atom